[1]
A relaxed structure of NaLi2Mg2. Source: Alexandria via LeMat-Bulk, functional PBE.

abc: 4.046 4.046 8.279
angles: 75.85 75.85 90.00
Positions (direct):
Na: 0.000 0.000 0.000
Mg: 0.396 0.396 0.207
Mg: 0.604 0.604 0.793
Li: 0.750 0.250 0.500
Li: 0.250 0.750 0.500

## Properties
As for the distance to the lowest polymorph of the same formula: 0.564 eV/f.u.

---

[2]
A relaxed structure of NaLi12Mg2. Source: Alexandria via LeMat-Bulk, functional PBE.

abc: 5.872 5.872 21.118
angles: 90.00 90.00 61.95
Positions (direct):
Na: 0.500 0.000 0.002
Na: 0.000 0.500 0.998
Li: 0.500 0.500 0.791
Li: 0.000 0.000 0.791
Li: 0.751 0.749 0.851
Li: 0.253 0.753 0.916
Li: 0.000 0.000 0.332
Li: 0.247 0.747 0.084
Li: 0.756 0.256 0.559
Li: 0.500 0.500 0.332
Li: 0.249 0.251 0.851
Li: 0.749 0.751 0.149
Li: 0.256 0.244 0.577
Li: 0.744 0.244 0.441
Li: 0.000 0.000 0.668
Li: 0.244 0.256 0.423
Li: 0.251 0.249 0.149
Li: 0.756 0.744 0.423
Li: 0.744 0.756 0.577
Li: 0.000 0.000 0.209
Li: 0.244 0.744 0.559
Li: 0.500 0.500 0.668
Li: 0.747 0.247 0.916
Li: 0.500 0.500 0.209
Li: 0.256 0.756 0.441
Li: 0.753 0.253 0.084
Mg: 0.500 0.000 0.284
Mg: 0.000 0.500 0.283
Mg: 0.000 0.500 0.716
Mg: 0.500 0.000 0.717

---

[3]
A relaxed structure of NaLiMg2. Source: Alexandria via LeMat-Bulk, functional PBE.

abc: 3.194 3.194 11.383
angles: 81.93 81.93 60.00
Positions (direct):
Na: 0.000 0.000 0.000
Mg: 0.094 0.094 0.718
Mg: 0.906 0.906 0.282
Li: 0.500 0.500 0.500

## Properties
As for the distance to the lowest polymorph of the same formula: 0.218 eV/f.u.

---

[4]
A relaxed structure of NaLiMg4. Source: Alexandria via LeMat-Bulk, functional PBE.

abc: 6.059 6.059 6.059
angles: 60.00 60.00 60.00
Positions (direct):
Na: 0.000 0.000 0.000
Mg: 0.625 0.625 0.126
Mg: 0.625 0.126 0.625
Mg: 0.625 0.625 0.625
Mg: 0.126 0.625 0.625
Li: 0.250 0.250 0.250

---

[5]
A relaxed structure of NaLi4Mg5. Source: Alexandria via LeMat-Bulk, functional PBE.

abc: 3.412 3.412 18.710
angles: 90.00 90.00 90.00
Positions (direct):
Na: 0.000 0.000 0.000
Li: 0.000 0.000 0.225
Li: 0.000 0.000 0.408
Li: 0.000 0.000 0.592
Li: 0.000 0.000 0.775
Mg: 0.500 0.500 0.133
Mg: 0.500 0.500 0.317
Mg: 0.500 0.500 0.500
Mg: 0.500 0.500 0.683
Mg: 0.500 0.500 0.867

---

[6]
A relaxed structure of NaLiMg2Ni. Source: Alexandria via LeMat-Bulk, functional PBE.

abc: 4.910 4.910 4.812
angles: 90.00 90.00 90.00
Positions (direct):
Ni: 0.000 0.000 0.000
Mg: 0.000 0.500 0.000
Mg: 0.500 0.000 0.000
Li: 0.000 0.000 0.500
Na: 0.500 0.500 0.500

---

no.,E_form (eV per atom)
1,0.144
2,0.037
3,0.097
4,0.074
5,-0.029
6,0.100